Record 1
The following is a PBE calculation of crystalline GaSiPd3 at its relaxed geometry, from the Alexandria database.

a b c (Å): 4.519 4.519 4.519
angles (deg): 90.00 90.00 90.00
Fractional positions:
Ga (0.000, 0.000, 0.000)
Si (0.500, 0.500, 0.500)
Pd (0.000, 0.500, 0.500)
Pd (0.500, 0.000, 0.500)
Pd (0.500, 0.500, 0.000)

Computed properties:
- E above lowest polymorph (meV/atom) = 464
- ΔE_f (raw) (eV/atom) = -0.013

***

Record 2
The following is a PBE calculation of crystalline GaSi2Pd6 at its relaxed geometry, from the Alexandria database.

a b c (Å): 5.639 6.333 8.984
angles (deg): 90.00 121.07 90.00
Fractional positions:
Ga (0.000, 0.000, 0.000)
Ga (0.000, 0.500, 0.500)
Si (0.188, 0.126, 0.747)
Si (0.188, 0.374, 0.247)
Si (0.812, 0.626, 0.753)
Si (0.812, 0.874, 0.253)
Pd (0.127, 0.142, 0.438)
Pd (0.127, 0.358, 0.938)
Pd (0.304, 0.700, 0.422)
Pd (0.304, 0.800, 0.922)
Pd (0.443, 0.052, 0.269)
Pd (0.443, 0.448, 0.769)
Pd (0.557, 0.552, 0.231)
Pd (0.557, 0.948, 0.731)
Pd (0.696, 0.200, 0.078)
Pd (0.696, 0.300, 0.578)
Pd (0.873, 0.642, 0.062)
Pd (0.873, 0.858, 0.562)

Computed properties:
- ΔE_f (raw) (eV/atom) = -0.517

***

Record 3
The following is a PBE calculation of crystalline GaSi2Pd2 at its relaxed geometry, from the Alexandria database.

a b c (Å): 7.549 7.549 2.752
angles (deg): 90.00 90.00 90.00
Fractional positions:
Ga (0.000, 0.000, 0.000)
Ga (0.500, 0.500, 0.000)
Si (0.156, 0.344, 0.500)
Si (0.344, 0.844, 0.500)
Si (0.656, 0.156, 0.500)
Si (0.844, 0.656, 0.500)
Pd (0.138, 0.638, 0.000)
Pd (0.362, 0.138, 0.000)
Pd (0.638, 0.862, 0.000)
Pd (0.862, 0.362, 0.000)

Computed properties:
- E above lowest polymorph (meV/atom) = 22
- ΔE_f (raw) (eV/atom) = -0.210

***

Record 4
The following is a PBE calculation of crystalline GaSi2Pd2 at its relaxed geometry, from the Alexandria database.

a b c (Å): 7.602 7.602 2.723
angles (deg): 90.00 90.00 90.00
Fractional positions:
Ga (0.000, 0.000, 0.000)
Ga (0.500, 0.500, 0.000)
Si (0.122, 0.378, 0.000)
Si (0.378, 0.878, 0.000)
Si (0.622, 0.122, 0.000)
Si (0.878, 0.622, 0.000)
Pd (0.173, 0.673, 0.500)
Pd (0.327, 0.173, 0.500)
Pd (0.673, 0.827, 0.500)
Pd (0.827, 0.327, 0.500)

Computed properties:
- E above lowest polymorph (meV/atom) = 27
- ΔE_f (raw) (eV/atom) = -0.206

***

Record 5
The following is a PBE calculation of crystalline Sm2Ga4SiPd3 at its relaxed geometry, from the Alexandria database.

a b c (Å): 4.164 4.164 10.935
angles (deg): 90.00 90.00 90.00
Fractional positions:
Sm (0.000, 0.500, 0.247)
Sm (0.500, 0.000, 0.753)
Ga (0.000, 0.000, 0.500)
Ga (0.000, 0.500, 0.864)
Ga (0.500, 0.000, 0.136)
Ga (0.500, 0.500, 0.500)
Si (0.500, 0.500, 0.000)
Pd (0.000, 0.000, 0.000)
Pd (0.000, 0.500, 0.637)
Pd (0.500, 0.000, 0.363)

Computed properties:
- ΔE_f (raw) (eV/atom) = -0.714

***

Record 6
The following is a PBE calculation of crystalline SmGa2SiPd4 at its relaxed geometry, from the Alexandria database.

a b c (Å): 8.940 8.940 8.940
angles (deg): 27.99 27.99 27.99
Fractional positions:
Sm (0.000, 0.000, 0.000)
Ga (0.251, 0.251, 0.251)
Ga (0.749, 0.749, 0.749)
Si (0.500, 0.500, 0.500)
Pd (0.138, 0.138, 0.138)
Pd (0.407, 0.407, 0.407)
Pd (0.593, 0.593, 0.593)
Pd (0.862, 0.862, 0.862)

Computed properties:
- ΔE_f (raw) (eV/atom) = -0.683

***

Record 7
The following is a PBE calculation of crystalline Sm2GaSi4Pd3 at its relaxed geometry, from the Alexandria database.

a b c (Å): 4.162 4.162 10.306
angles (deg): 90.00 90.00 90.00
Fractional positions:
Sm (0.000, 0.500, 0.246)
Sm (0.500, 0.000, 0.754)
Ga (0.000, 0.000, 0.500)
Si (0.000, 0.000, 0.000)
Si (0.000, 0.500, 0.643)
Si (0.500, 0.000, 0.357)
Si (0.500, 0.500, 0.000)
Pd (0.000, 0.500, 0.876)
Pd (0.500, 0.000, 0.124)
Pd (0.500, 0.500, 0.500)

Computed properties:
- ΔE_f (raw) (eV/atom) = -0.805

***

Record 8
The following is a PBE calculation of crystalline Sm2GaSi3Pd4 at its relaxed geometry, from the Alexandria database.

a b c (Å): 4.242 4.242 10.040
angles (deg): 90.00 90.00 90.00
Fractional positions:
Sm (0.000, 0.500, 0.248)
Sm (0.500, 0.000, 0.752)
Ga (0.500, 0.500, 0.000)
Si (0.000, 0.000, 0.000)
Si (0.000, 0.500, 0.627)
Si (0.500, 0.000, 0.373)
Pd (0.000, 0.000, 0.500)
Pd (0.000, 0.500, 0.867)
Pd (0.500, 0.000, 0.133)
Pd (0.500, 0.500, 0.500)

Computed properties:
- ΔE_f (raw) (eV/atom) = -0.894

***

Record 9
The following is a PBE calculation of crystalline SrGaSiPd3 at its relaxed geometry, from the Alexandria database.

a b c (Å): 7.924 7.924 5.998
angles (deg): 90.00 90.00 135.68
Fractional positions:
Sr (0.213, 0.787, 0.750)
Sr (0.787, 0.213, 0.250)
Ga (0.095, 0.905, 0.250)
Ga (0.905, 0.095, 0.750)
Si (0.421, 0.579, 0.250)
Si (0.579, 0.421, 0.750)
Pd (0.253, 0.253, 0.000)
Pd (0.253, 0.253, 0.500)
Pd (0.262, 0.738, 0.250)
Pd (0.738, 0.262, 0.750)
Pd (0.747, 0.747, 0.000)
Pd (0.747, 0.747, 0.500)

Computed properties:
- ΔE_f (raw) (eV/atom) = -0.578

***

Record 10
The following is a PBE calculation of crystalline Sr2Ga3SiPd4 at its relaxed geometry, from the Alexandria database.

a b c (Å): 4.462 4.462 10.078
angles (deg): 90.00 90.00 90.00
Fractional positions:
Sr (0.000, 0.500, 0.250)
Sr (0.500, 0.000, 0.750)
Ga (0.000, 0.000, 0.000)
Ga (0.000, 0.500, 0.624)
Ga (0.500, 0.000, 0.376)
Si (0.500, 0.500, 0.000)
Pd (0.000, 0.000, 0.500)
Pd (0.000, 0.500, 0.881)
Pd (0.500, 0.000, 0.119)
Pd (0.500, 0.500, 0.500)

Computed properties:
- ΔE_f (raw) (eV/atom) = -0.713

***

VASP energy (eV per formula unit)
-24.09 -49.68 -25.31 -25.29 -49.68 -42.43 -57.79 -58.44 -29.18 -45.77
Total magnetization (μB/f.u.)
0.000 0.000 0.000 0.000 0.000 0.000 0.000 0.000 0.000 0.000